# LiMg2Mn, PBEsol geometry, DFT meta-GGA SCAN
# Total moment: 4.11 μB per formula unit
# VASP energy: -7.622 eV/atom
data_LiMg2Mn
_space_group_name_H-M_alt 'P 1'
_space_group_IT_number 1
_cell_length_a 4.671
_cell_length_b 4.671
_cell_length_c 4.671
_cell_angle_alpha 60.00
_cell_angle_beta 60.00
_cell_angle_gamma 60.00
loop_
_space_group_symop_operation_xyz
'x,y,z'
loop_
_atom_site_label
_atom_site_fract_x
_atom_site_fract_y
_atom_site_fract_z
Mg1 0.750 0.750 0.750
Mg2 0.000 0.000 0.000
Mn1 0.250 0.250 0.250
Li1 0.500 0.500 0.500